1.
This record from the Alexandria database describes an optimized crystal structure of DyScOs. The functional is PBE.

The structure in POSCAR format:
```
DyScOs
1.0
6.6598 0.0000 3.0389
2.3017 7.1721 3.7728
0.1887 0.5604 8.4037
Sc Dy Os
6 6 6
Cartesian
7.1945 6.7620 12.9375
5.9494 2.8960 6.8491
3.6577 0.9706 3.0544
0.0294 0.0000 0.0134
1.2746 3.8663 6.1016
4.9028 4.8366 9.1428
6.2490 3.8143 12.0560
1.3151 0.6124 5.2331
2.9760 2.2131 8.2765
2.3722 3.9183 2.9180
4.0323 5.5194 5.9616
7.3049 7.1202 9.7404
0.9922 1.2892 2.2931
6.7913 5.5190 7.2200
2.2373 5.1552 8.3815
3.6275 2.5773 5.3348
5.7346 2.2135 9.5357
4.8726 6.4434 11.4232
```

Output
Crystal system ... hexagonal
DFT formation energy ... -0.352 eV/atom
Relative energy among the computed polymorphs ... 0.000 eV per atom
Calculated volume ... 21.5 Å³ per atom
Mass density ... 10.23 g/cm3
Symmetry ... No. 189

=====

2.
This record from the Alexandria database describes an optimized crystal structure of Li2DyNi4. The functional is PBE.

The structure in POSCAR format:
```
Li2DyNi4
1.0
-2.7002 2.1379 3.1042
0.6523 -1.2773 4.9048
1.7609 4.3696 1.9800
Ni Li Dy
4 2 1
Cartesian
0.3038 5.0511 7.1625
-0.5907 0.1791 2.8266
-0.1173 2.9070 8.2729
-0.1697 2.3232 1.7162
0.5324 2.0813 4.2201
-0.8191 3.1487 5.7688
0.6523 -1.2773 4.9048
```

Output
Crystal system ... orthorhombic
DFT formation energy ... -0.111 eV/atom
Calculated volume ... 13.7 Å³ per atom
Mass density ... 7.09 g/cm3
Symmetry ... No. 71

=====

3.
This record from the Alexandria database describes an optimized crystal structure of KMoBr. The functional is PBE.

The structure in POSCAR format:
```
KMoBr
1.0
4.9404 0.0000 0.0000
-2.4702 4.2785 0.0000
0.0000 0.0000 4.7835
K Mo Br
1 1 1
Cartesian
2.4702 1.4262 1.5932
0.0000 2.8523 3.9857
0.0000 0.0000 3.9881
```

Output
Crystal system ... hexagonal
Relative energy among the computed polymorphs ... 0.119 eV per atom
Calculated volume ... 33.7 Å³ per atom
Mass density ... 3.53 g/cm3
Symmetry ... No. 187

=====

4.
This record from the Alexandria database describes an optimized crystal structure of LaZnB. The functional is PBE.

The structure in POSCAR format:
```
LaZnB
1.0
0.0000 3.2946 3.2946
3.2946 0.0000 3.2946
3.2946 3.2946 0.0000
La B Zn
1 1 1
Cartesian
3.2946 3.2946 3.2946
1.6473 1.6473 1.6473
4.9419 4.9419 4.9419
```

Output
Crystal system ... cubic
DFT formation energy ... 0.808 eV/atom
Relative energy among the computed polymorphs ... 1.112 eV per atom
Calculated volume ... 23.8 Å³ per atom
Mass density ... 4.99 g/cm3
Symmetry ... No. 216

=====

5.
This record from the Alexandria database describes an optimized crystal structure of ZrTcPt. The functional is PBE.

The structure in POSCAR format:
```
ZrTcPt
1.0
4.6261 0.0000 0.0000
-2.3130 4.0063 0.0000
0.0000 0.0000 2.7697
Zr Tc Pt
1 1 1
Cartesian
2.3130 1.3354 1.8622
0.0000 2.6709 1.0620
0.0000 0.0000 2.6152
```

Output
Crystal system ... trigonal
DFT formation energy ... -0.169 eV/atom
Relative energy among the computed polymorphs ... 0.114 eV per atom
Calculated volume ... 17.1 Å³ per atom
Mass density ... 12.43 g/cm3
Symmetry ... No. 156

=====

6.
This record from the Alexandria database describes an optimized crystal structure of MgTl2B. The functional is PBE.

The structure in POSCAR format:
```
MgTl2B
1.0
-1.1730 -4.8411 -0.3324
-3.3368 -1.5334 -3.3820
1.4925 -2.6646 -3.9491
B Mg Tl
1 1 2
Cartesian
0.0000 0.0000 0.0000
-1.5087 -4.5196 -3.8317
-2.2630 -6.7793 -5.7476
-0.7543 -2.2598 -1.9159
```

Output
Crystal system ... cubic
DFT formation energy ... 0.905 eV/atom
Relative energy among the computed polymorphs ... 0.115 eV per atom
Calculated volume ... 22.0 Å³ per atom
Mass density ... 8.38 g/cm3
Symmetry ... No. 225

=====

7.
This record from the Alexandria database describes an optimized crystal structure of MnMo2Ir. The functional is PBE.

The structure in POSCAR format:
```
MnMo2Ir
1.0
-8.8446 -1.8212 1.7997
-7.7024 -3.9350 3.1578
-7.9573 -1.4790 4.3906
Mo Ir Mn
2 1 1
Cartesian
-0.0926 -0.0273 0.0353
-6.0260 -1.7792 2.2988
-12.2038 -3.6033 4.6556
-18.4340 -5.4429 7.0324
```

Output
Crystal system ... trigonal
DFT formation energy ... 0.144 eV/atom
Relative energy among the computed polymorphs ... 0.216 eV per atom
Calculated volume ... 15.0 Å³ per atom
Mass density ... 12.19 g/cm3
Symmetry ... No. 160

=====

8.
This record from the Alexandria database describes an optimized crystal structure of Ca2CeSe3. The functional is PBE.

The structure in POSCAR format:
```
Ca2CeSe3
1.0
5.9656 -0.0092 0.0000
0.0137 8.4490 0.0000
0.0000 0.0000 12.6578
Se Ca Ce
12 8 4
Cartesian
4.4778 3.1762 1.0650
1.4946 1.0391 7.3939
1.4896 1.0673 3.1654
4.4897 7.3725 9.4924
4.4829 3.1480 9.4943
4.4771 3.1232 5.2484
1.4964 5.2918 3.1635
4.4839 7.3477 1.0805
1.4954 1.0921 11.5773
1.5023 5.3166 7.4094
4.4847 7.4007 5.2639
1.5015 5.2636 11.5928
4.4775 1.0376 7.3894
4.4843 5.2621 11.5973
1.5002 3.1637 9.4838
4.4791 5.2761 3.1740
1.5070 7.3882 9.5029
4.4723 1.0516 3.1549
1.4950 3.1776 1.0605
1.5018 7.4021 5.2684
4.4780 1.0180 11.6331
4.4849 5.2425 7.3536
1.5013 7.4218 1.0247
1.4944 3.1973 5.3042
```

Output
Crystal system ... monoclinic
Relative energy among the computed polymorphs ... 0.000 eV per atom
Calculated volume ... 26.6 Å³ per atom
Mass density ... 4.76 g/cm3
Symmetry ... No. 14

=====

9.
This record from the Alexandria database describes an optimized crystal structure of Ca2Sn4Ir. The functional is PBE.

The structure in POSCAR format:
```
Ca2Sn4Ir
1.0
5.0248 0.0000 0.0000
0.0000 5.0248 0.0000
2.5124 2.5124 8.8050
Sn Ca Ir
4 2 1
Cartesian
5.0248 5.0248 2.7345
2.5124 0.0000 0.0000
0.0000 2.5124 0.0000
2.5124 2.5124 6.0705
2.5124 2.5124 2.9020
5.0248 5.0248 5.9030
0.0000 0.0000 0.0000
```

Output
Crystal system ... tetragonal
DFT formation energy ... -0.107 eV/atom
Calculated volume ... 31.8 Å³ per atom
Mass density ... 5.58 g/cm3
Symmetry ... No. 139

=====

10.
This record from the Alexandria database describes an optimized crystal structure of Pr6SmTm12. The functional is PBE.

The structure in POSCAR format:
```
Pr6SmTm12
1.0
-2.9908 -7.8598 -2.2893
7.0756 0.2537 -5.0826
3.8449 -2.1848 7.5103
Tm Pr Sm
12 6 1
Cartesian
3.1416 -5.5168 3.2781
6.1728 -6.9166 2.1554
3.6374 -1.3131 0.6789
1.7570 -2.8742 -2.0169
4.2923 -8.4777 -0.5404
1.3998 -6.9628 0.7810
0.8682 -3.5451 1.4473
7.0616 -6.2458 -1.3089
4.7881 -4.2740 -3.1396
2.2230 -6.3415 -2.4278
5.7067 -3.4493 2.5663
6.5300 -2.8280 -0.6425
8.7957 -4.4548 1.3939
3.2144 -8.9532 2.9426
5.0057 -7.6012 -4.0394
2.9241 -2.1896 4.1778
-0.8659 -5.3360 -1.2554
4.7153 -0.8376 -2.8041
0.0000 0.0000 0.0000
```

Output
Crystal system ... trigonal
DFT formation energy ... 0.223 eV/atom
Relative energy among the computed polymorphs ... 0.099 eV per atom
Calculated volume ... 33.5 Å³ per atom
Mass density ... 7.89 g/cm3
Symmetry ... No. 166

=====

11.
This record from the Alexandria database describes an optimized crystal structure of RbCdIn2Pb. The functional is PBE.

The structure in POSCAR format:
```
RbCdIn2Pb
1.0
5.9139 0.0000 0.0000
0.0000 7.1396 0.0000
0.0000 0.0000 5.9139
In Cd Rb Pb
2 1 1 1
Cartesian
0.0000 0.0000 2.9569
2.9569 0.0000 0.0000
2.9569 3.5698 2.9569
0.0000 3.5698 0.0000
0.0000 0.0000 0.0000
```

Output
Crystal system ... tetragonal
DFT formation energy ... 0.281 eV/atom
Relative energy among the computed polymorphs ... 0.371 eV per atom
Calculated volume ... 49.9 Å³ per atom
Mass density ... 4.22 g/cm3
Symmetry ... No. 123

=====

12.
This record from the Alexandria database describes an optimized crystal structure of Li8HgBi2. The functional is PBE.

The structure in POSCAR format:
```
Li8HgBi2
1.0
4.6726 0.0000 0.0000
0.0000 7.4856 -0.2491
-2.3363 -3.5323 6.4252
Li Bi Hg
8 2 1
Cartesian
0.0000 2.2092 -0.0709
0.0000 -1.4229 4.4279
2.3363 1.7441 6.2470
0.0000 0.0596 1.9382
0.0000 1.7170 4.3192
2.3363 2.2363 1.8569
2.3363 3.8937 4.2379
2.3363 5.3762 1.7482
0.0000 3.8262 2.3151
2.3363 0.1271 3.8610
2.3363 0.0000 0.0000
```

Output
Crystal system ... monoclinic
DFT formation energy ... -0.410 eV/atom
Relative energy among the computed polymorphs ... 0.000 eV per atom
Calculated volume ... 20.1 Å³ per atom
Mass density ... 5.07 g/cm3
Symmetry ... No. 12

=====

Question: Look up the calculated volume of the second one.
Answer: 13.7 Å³ per atom